MgBe3Al | PBE-GGA | relaxed

## Properties
The calculation puts the density of states at the Fermi level at 1.67 states/eV/cell. The space group is No. 221. The value obtained for the calculated volume is 17.50 Å³ per atom. The value obtained for the calculated formation energy is 141.2 kJ per mole of atoms. The energy above the most stable polymorph in this dataset comes out at 510 meV per atom.

Cell lengths 4.439, 4.439, 4.439 Å; angles 90.00, 90.00, 90.00 degrees
Sites, in units of the cell vectors:
Mg (0.000, 0.000, 0.000)
Be (0.000, 0.000, 0.500)
Be (0.000, 0.500, 0.000)
Be (0.500, 0.000, 0.000)
Al (0.500, 0.500, 0.500)

=====

Mg2BeAl | PBE-GGA | relaxed

## Properties
The calculation puts the density of states at the Fermi level at 1.34 states/eV/cell. The space group is No. 123. The value obtained for the calculated volume is 17.27 Å³ per atom. The value obtained for the calculated formation energy is 23.0 kJ per mole of atoms. The energy above the most stable polymorph in this dataset comes out at 166 meV per atom.

Cell lengths 4.134, 4.134, 4.042 Å; angles 90.00, 90.00, 90.00 degrees
Sites, in units of the cell vectors:
Mg (0.000, 0.500, 0.000)
Mg (0.500, 0.000, 0.000)
Be (0.000, 0.000, 0.500)
Al (0.500, 0.500, 0.500)

=====

Mg2BeAl | PBE-GGA | relaxed

## Properties
The calculation puts the density of states at the Fermi level at 5.37 states/eV/cell. The space group is No. 8. The value obtained for the calculated volume is 17.78 Å³ per atom. The value obtained for the calculated formation energy is 12.5 kJ per mole of atoms. The energy above the most stable polymorph in this dataset comes out at 57 meV per atom.

Cell lengths 6.401, 7.979, 6.136 Å; angles 90.00, 114.80, 90.00 degrees
Sites, in units of the cell vectors:
Mg (0.000, 0.188, 0.000)
Mg (0.000, 0.812, 0.000)
Mg (0.382, 0.308, 0.472)
Mg (0.382, 0.692, 0.472)
Mg (0.500, 0.312, 0.000)
Mg (0.500, 0.688, 0.000)
Mg (0.882, 0.192, 0.472)
Mg (0.882, 0.808, 0.472)
Be (0.138, 0.500, 0.687)
Be (0.189, 0.500, 0.052)
Be (0.638, 0.000, 0.687)
Be (0.689, 0.000, 0.052)
Al (0.288, 0.000, 0.751)
Al (0.440, 0.000, 0.254)
Al (0.788, 0.500, 0.751)
Al (0.940, 0.500, 0.254)

=====

MgBeAl | PBE-GGA | relaxed

## Properties
The calculation puts the density of states at the Fermi level at 3.20 states/eV/cell. The space group is No. 8. The value obtained for the calculated volume is 16.34 Å³ per atom. The value obtained for the calculated formation energy is 17.5 kJ per mole of atoms. The energy above the most stable polymorph in this dataset comes out at 112 meV per atom.

Cell lengths 11.921, 3.075, 6.043 Å; angles 90.00, 117.73, 90.00 degrees
Sites, in units of the cell vectors:
Mg (0.000, 0.000, 0.000)
Mg (0.231, 0.500, 0.978)
Mg (0.500, 0.500, 0.000)
Mg (0.731, 0.000, 0.978)
Be (0.099, 0.000, 0.575)
Be (0.306, 0.000, 0.736)
Be (0.599, 0.500, 0.575)
Be (0.806, 0.500, 0.736)
Al (0.200, 0.500, 0.402)
Al (0.424, 0.000, 0.498)
Al (0.700, 0.000, 0.402)
Al (0.924, 0.500, 0.498)

=====

MgBeAl2 | PBE-GGA | relaxed

## Properties
The calculation puts the density of states at the Fermi level at 0.90 states/eV/cell. The space group is No. 6. The value obtained for the calculated volume is 15.94 Å³ per atom. The value obtained for the calculated formation energy is 19.1 kJ per mole of atoms. The energy above the most stable polymorph in this dataset comes out at 123 meV per atom.

Cell lengths 2.888, 4.212, 5.425 Å; angles 90.00, 104.97, 90.00 degrees
Sites, in units of the cell vectors:
Mg (0.000, 0.000, 0.000)
Be (0.405, 0.500, 0.798)
Al (0.270, 0.000, 0.534)
Al (0.660, 0.500, 0.317)

=====

Mg2BeAl2 | PBE-GGA | relaxed

## Properties
The calculation puts the density of states at the Fermi level at 2.75 states/eV/cell. The space group is No. 127. The value obtained for the calculated volume is 18.11 Å³ per atom. The value obtained for the calculated formation energy is 15.3 kJ per mole of atoms.

Cell lengths 6.351, 6.351, 4.491 Å; angles 90.00, 90.00, 90.00 degrees
Sites, in units of the cell vectors:
Mg (0.167, 0.333, 0.000)
Mg (0.333, 0.833, 0.000)
Mg (0.667, 0.167, 0.000)
Mg (0.833, 0.667, 0.000)
Be (0.000, 0.000, 0.500)
Be (0.500, 0.500, 0.500)
Al (0.146, 0.646, 0.500)
Al (0.354, 0.146, 0.500)
Al (0.646, 0.854, 0.500)
Al (0.854, 0.354, 0.500)

=====

MgBeAl | PBE-GGA | relaxed

## Properties
The calculation puts the density of states at the Fermi level at 1.43 states/eV/cell. The space group is No. 11. The value obtained for the calculated volume is 16.57 Å³ per atom. The value obtained for the calculated formation energy is 6.7 kJ per mole of atoms. The energy above the most stable polymorph in this dataset comes out at 0 meV per atom.

Cell lengths 4.469, 3.681, 6.154 Å; angles 90.00, 100.84, 90.00 degrees
Sites, in units of the cell vectors:
Mg (0.223, 0.250, 0.357)
Mg (0.777, 0.750, 0.643)
Be (0.125, 0.750, 0.027)
Be (0.875, 0.250, 0.973)
Al (0.335, 0.250, 0.844)
Al (0.665, 0.750, 0.156)

=====

MgBeAl2 | PBE-GGA | relaxed

## Properties
The calculation puts the density of states at the Fermi level at 3.16 states/eV/cell. The space group is No. 119. The value obtained for the calculated volume is 15.89 Å³ per atom. The value obtained for the calculated formation energy is 19.6 kJ per mole of atoms. The energy above the most stable polymorph in this dataset comes out at 129 meV per atom.

Cell lengths 3.998, 3.998, 7.951 Å; angles 90.00, 90.00, 90.00 degrees
Sites, in units of the cell vectors:
Mg (0.000, 0.000, 0.000)
Mg (0.500, 0.500, 0.500)
Be (0.000, 0.500, 0.750)
Be (0.500, 0.000, 0.250)
Al (0.000, 0.000, 0.500)
Al (0.000, 0.500, 0.250)
Al (0.500, 0.000, 0.750)
Al (0.500, 0.500, 0.000)

=====

Question: calculated volume of number 4 (MgBeAl)?
Answer: 16.34 Å³ per atom